Record 1
VASP calculation (PBE) on crystalline La2TcBr at its relaxed geometry.

Output
E_form (uncorrected) (meV per atom): -630.4
ΔE to the lowest computed polymorph (meV per atom): 22

Cell: 3.560 3.566 8.362 Å, 90.00 93.98 90.00°
Sites, in units of the cell vectors:
La 0.052 0.000 0.290
La 0.948 0.000 0.710
Tc 0.500 0.500 0.500
Br 0.500 0.500 0.000

***

Record 2
VASP calculation (PBE) on crystalline GaI2NCl at its relaxed geometry.

Output
E_form (uncorrected) (meV per atom): 884.3
ΔE to the lowest computed polymorph (meV per atom): 292

Cell: 7.014 7.014 3.376 Å, 90.00 90.00 90.00°
Sites, in units of the cell vectors:
Ga 0.000 0.000 0.000
I 0.000 0.500 0.500
I 0.500 0.000 0.500
N 0.500 0.500 0.000
Cl 0.500 0.500 0.500

***

Record 3
VASP calculation (PBE) on crystalline Cd3Pt at its relaxed geometry.

Output
Formation energy from the elements (eV/atom): -0.066

Cell: 10.478 10.478 10.478 Å, 16.45 16.45 16.45°
Sites, in units of the cell vectors:
Cd 0.000 0.000 0.000
Cd 0.241 0.241 0.241
Cd 0.759 0.759 0.759
Pt 0.500 0.500 0.500

***

Record 4
VASP calculation (PBE) on crystalline LiLaY2 at its relaxed geometry.

Output
Formation energy from the elements (eV/atom): 0.235
ΔE to the lowest computed polymorph (meV per atom): 165

Cell: 5.601 5.601 5.601 Å, 60.00 60.00 60.00°
Sites, in units of the cell vectors:
Li 0.000 0.000 0.000
La 0.500 0.500 0.500
Y 0.250 0.250 0.250
Y 0.750 0.750 0.750

***

Record 5
VASP calculation (PBE) on crystalline MgSbS2Cl at its relaxed geometry.

Output
E_form (uncorrected) (meV per atom): -297.9

Cell: 4.926 4.926 4.560 Å, 90.00 90.00 90.00°
Sites, in units of the cell vectors:
Mg 0.000 0.000 0.000
Sb 0.500 0.500 0.500
S 0.000 0.500 0.000
S 0.500 0.000 0.000
Cl 0.000 0.000 0.500

***

Record 6
VASP calculation (PBE) on crystalline KLa2Ag at its relaxed geometry.

Output
Formation energy from the elements (eV/atom): 0.325
ΔE to the lowest computed polymorph (meV per atom): 275

Cell: 7.366 7.366 7.366 Å, 102.92 102.92 123.56°
Sites, in units of the cell vectors:
K 0.000 0.000 0.000
K 0.750 0.250 0.500
La 0.174 0.125 0.549
La 0.375 0.826 0.951
La 0.576 0.625 0.451
La 0.875 0.424 0.049
Ag 0.250 0.750 0.500
Ag 0.500 0.500 0.000

***

Record 7
VASP calculation (PBE) on crystalline Na3Au at its relaxed geometry.

Output
Formation energy from the elements (eV/atom): -0.156

Cell: 4.676 4.676 4.658 Å, 90.00 90.00 90.00°
Sites, in units of the cell vectors:
Na 0.000 0.000 0.000
Na 0.000 0.500 0.500
Na 0.500 0.000 0.500
Au 0.500 0.500 0.000

***

Record 8
VASP calculation (PBE) on crystalline Rb2LaDyS4 at its relaxed geometry.

Output
E_form (uncorrected) (meV per atom): -1868.4

Cell: 7.281 4.200 8.067 Å, 90.00 107.45 90.00°
Sites, in units of the cell vectors:
Rb 0.000 0.000 0.000
Rb 0.500 0.500 0.000
La 0.000 0.500 0.500
Dy 0.500 0.000 0.500
S 0.243 0.000 0.696
S 0.279 0.500 0.307
S 0.721 0.500 0.693
S 0.757 0.000 0.304